(1)
Nd2ReO6, relaxed, DFT GGA-PBE; SG = P2_1/c, No. 14; calculated density = 7.2 g cm⁻³; calculated volume = 263.2 Å³/cell; E_tot = -74.96 eV/f.u.; magnetic moment = 1.01 μB per formula unit
1.0
5.553 0.000 -0.057
0.000 6.120 0.000
-0.769 0.000 7.752
Nd Re O
4 2 12
Cartesian
4.766 2.513 5.805
2.411 5.573 5.737
2.374 0.547 1.957
0.019 3.608 1.890
2.777 3.060 -0.028
-0.384 0.000 3.876
4.537 5.752 2.030
4.367 4.484 4.431
3.680 4.019 7.306
3.497 0.959 4.236
2.810 1.423 7.111
3.408 2.692 1.760
0.247 0.368 5.665
0.418 1.637 3.264
1.105 2.101 0.389
1.288 5.162 3.459
1.974 4.697 0.583
1.376 3.428 5.934

(2)
GeHS2Cl, relaxed, DFT GGA-PBE; SG = P4/mmm, No. 123; calculated density = 2.6 g cm⁻³; distance to the lowest polymorph of the same formula = 0.312 eV/atom; calculated volume = 111.8 Å³/cell; E_tot = -14.54 eV/f.u.; magnetic moment = 1.43 μB per formula unit
1.0
4.707 0.000 0.000
0.000 4.707 0.000
0.000 0.000 5.047
H Ge S Cl
1 1 2 1
Cartesian
2.354 2.354 2.523
0.000 0.000 0.000
0.000 2.354 0.000
2.354 0.000 0.000
0.000 0.000 2.523

(3)
TaZn2Ag, relaxed, DFT GGA-PBE; SG = Fm-3m, No. 225; calculated density = 10.8 g cm⁻³; distance to the lowest polymorph of the same formula = 0.290 eV/atom; calculated volume = 64.3 Å³/cell; energy relative to the elements = 0.276 eV/atom; E_tot = -16.15 eV/f.u.; magnetic moment = 0.00 μB per formula unit
1.0
0.000 3.179 3.179
3.179 0.000 3.179
3.179 3.179 0.000
Zn Ag Ta
2 1 1
Cartesian
1.590 1.590 1.590
4.769 4.769 4.769
0.000 0.000 0.000
3.179 3.179 3.179

(4)
Ta3ReMo, relaxed, DFT GGA-PBE; SG = Pm-3m, No. 221; calculated density = 12.3 g cm⁻³; distance to the lowest polymorph of the same formula = 1.911 eV/atom; calculated volume = 111.0 Å³/cell; energy relative to the elements = 1.599 eV/atom; E_tot = -50.84 eV/f.u.; magnetic moment = 2.16 μB per formula unit
1.0
4.806 0.000 0.000
0.000 4.806 0.000
0.000 0.000 4.806
Re Mo Ta
1 1 3
Cartesian
0.000 0.000 0.000
2.403 2.403 2.403
0.000 2.403 0.000
0.000 0.000 2.403
2.403 0.000 0.000